VASP calculation (GGA-PBE) on LaEr12In3 after structural relaxation.

The space group is P4/mmm (No. 123) and the conventional cell measures 4.827, 4.827 and 19.776 Å, with angles of 90.00, 90.00 and 90.00 degrees. The inequivalent atoms are La at (0.000, 0.000, 0.000), Er at (0.000, 0.500, 0.134), Er at (0.000, 0.500, 0.378), Er at (0.500, 0.500, 0.000), Er at (0.500, 0.500, 0.258), Er at (0.500, 0.500, 0.500), In at (0.000, 0.000, 0.258) and In at (0.000, 0.000, 0.500).

For the magnetic moment, the calculation gives 0.00 μB per formula unit. The energy of formation from the pure elements comes out at -0.173 eV/atom.